# 1
A plane-wave DFT calculation with PBE was carried out for La8BiRh2 after structural relaxation.

Summary:
calculated formation energy: -0.421 eV/atom
DOS at the Fermi energy: 13.4 states/eV/f.u.

Cell: 5.6752 8.4385 8.4385 Å, 116.03 97.01 97.01°
Fractional coordinates of all 11 atoms:
1 La 0.5000 0.2505 0.7495
2 La 0.9458 0.6706 0.9158
3 Rh 0.0000 0.2854 0.7146
4 La 0.9458 0.9158 0.6706
5 Rh 0.0000 0.7146 0.2854
6 La 0.0542 0.0842 0.3294
7 La 0.6987 0.4039 0.4039
8 La 0.5000 0.7495 0.2505
9 La 0.0542 0.3294 0.0842
10 La 0.3013 0.5961 0.5961
11 Bi 0.5000 0.0000 0.0000

---

# 2
A plane-wave DFT calculation with PBE was carried out for La12BiRh6 after structural relaxation.

Summary:
calculated formation energy: -0.642 eV/atom
DOS at the Fermi energy: 11.2 states/eV/f.u.

Cell: 9.0296 9.0296 9.0296 Å, 109.47 109.47 109.47°
Fractional coordinates of all 19 atoms:
1 Rh 0.6390 0.5000 0.1390
2 Bi 0.0000 0.0000 0.0000
3 Rh 0.1390 0.6390 0.5000
4 La 0.6884 0.5052 0.8167
5 La 0.1283 0.8167 0.3116
6 Rh 0.8610 0.3610 0.5000
7 La 0.1833 0.3116 0.4948
8 Rh 0.5000 0.1390 0.6390
9 La 0.6884 0.8717 0.1833
10 La 0.5052 0.8167 0.6884
11 La 0.8167 0.6884 0.5052
12 Rh 0.5000 0.8610 0.3610
13 La 0.3116 0.1283 0.8167
14 Rh 0.3610 0.5000 0.8610
15 La 0.8167 0.3116 0.1283
16 La 0.1833 0.6884 0.8717
17 La 0.3116 0.4948 0.1833
18 La 0.8717 0.1833 0.6884
19 La 0.4948 0.1833 0.3116

---

# 3
A plane-wave DFT calculation with PBE was carried out for La3BiRh after structural relaxation.

Summary:
calculated formation energy: -0.623 eV/atom
DOS at the Fermi energy: 5.6 states/eV/f.u.

Cell: 5.5393 5.5393 5.5393 Å, 90.00 90.00 90.00°
Fractional coordinates of all 5 atoms:
1 La 0.5000 0.0000 0.0000
2 La 0.0000 0.0000 0.5000
3 Rh 0.0000 0.0000 0.0000
4 Bi 0.5000 0.5000 0.5000
5 La 0.0000 0.5000 0.0000

---

# 4
A plane-wave DFT calculation with PBE was carried out for LaBiRh2 after structural relaxation.

Summary:
calculated formation energy: -0.478 eV/atom
DOS at the Fermi energy: 4.1 states/eV/f.u.

Cell: 3.7127 4.7824 4.7824 Å, 90.00 90.00 90.00°
Fractional coordinates of all 4 atoms:
1 Rh 0.0000 0.5000 0.0000
2 Rh 0.0000 0.0000 0.5000
3 La 0.5000 0.5000 0.5000
4 Bi 0.5000 0.0000 0.0000

---

# 5
A plane-wave DFT calculation with PBE was carried out for La3Bi4Rh8 after structural relaxation.

Summary:
calculated formation energy: -0.444 eV/atom
DOS at the Fermi energy: 13.3 states/eV/f.u.

Cell: 9.5734 9.5734 9.5734 Å, 60.00 60.00 60.00°
Fractional coordinates of all 30 atoms:
1 La 0.7323 0.2677 0.7323
2 Rh 0.8762 0.3715 0.8762
3 Bi 0.0000 0.5000 0.5000
4 Bi 0.5000 0.0000 0.5000
5 Bi 0.5000 0.5000 0.0000
6 Rh 0.1238 0.6285 0.1238
7 Rh 0.3298 0.3298 0.3298
8 La 0.7323 0.2677 0.2677
9 Rh 0.3298 0.3298 0.0107
10 La 0.2677 0.7323 0.7323
11 Rh 0.6702 0.6702 0.6702
12 Rh 0.3715 0.8762 0.8762
13 Rh 0.1238 0.1238 0.1238
14 Bi 0.5000 0.0000 0.0000
15 Bi 0.0000 0.0000 0.0000
16 Rh 0.8762 0.8762 0.8762
17 Bi 0.0000 0.5000 0.0000
18 Rh 0.6702 0.6702 0.9893
19 La 0.2677 0.2677 0.7323
20 La 0.2677 0.7323 0.2677
21 Rh 0.6702 0.9893 0.6702
22 Bi 0.5000 0.5000 0.5000
23 Rh 0.3298 0.0107 0.3298
24 Rh 0.1238 0.1238 0.6285
25 La 0.7323 0.7323 0.2677
26 Rh 0.6285 0.1238 0.1238
27 Rh 0.0107 0.3298 0.3298
28 Rh 0.8762 0.8762 0.3715
29 Rh 0.9893 0.6702 0.6702
30 Bi 0.0000 0.0000 0.5000

---

# 6
A plane-wave DFT calculation with PBE was carried out for LaBiRh3 after structural relaxation.

Summary:
calculated formation energy: 0.298 eV/atom
DOS at the Fermi energy: 27.1 states/eV/f.u.

Cell: 4.9855 4.9855 4.9855 Å, 90.00 90.00 90.00°
Fractional coordinates of all 5 atoms:
1 Rh 0.0000 0.0000 0.5000
2 La 0.5000 0.5000 0.5000
3 Rh 0.0000 0.5000 0.0000
4 Bi 0.0000 0.0000 0.0000
5 Rh 0.5000 0.0000 0.0000

---

| no. | volume (Å³ per cell) | total energy (eV/atom) | size of the total moment (μB/f.u.) |
| --- | --- | --- | --- |
| 1 | 353.34 | -5.694 | 0.00 |
| 2 | 566.74 | -6.280 | 0.00 |
| 3 | 169.96 | -5.826 | 0.00 |
| 4 | 84.91 | -6.356 | 0.00 |
| 5 | 620.43 | -6.385 | 0.00 |
| 6 | 123.91 | -5.874 | 0.00 |